(w)
Here is crystalline Sr5MgBi4 at its relaxed geometry from Alexandria. Energies are from PBE.

Its density is 5.749 Mg/m³. Its magnetic moment is 0.36 μB/f.u.

It has space group Immm (No. 71), with a = 5.105 Å, b = 11.193 Å, c = 13.126 Å, α = 90.00°, β = 90.00° and γ = 90.00°. The inequivalent atoms are Sr at (0.000, 0.000, 0.000), Sr at (0.000, 0.318, 0.159), Mg at (0.000, 0.000, 0.500), Bi at (0.000, 0.000, 0.264) and Bi at (0.000, 0.278, 0.500).



(x)
Here is crystalline Sr5MgBi4 at its relaxed geometry from Alexandria. Energies are from PBE.

Its density is 5.229 Mg/m³. Its magnetic moment is 0.00 μB/f.u.

It has space group C2/m (No. 12), with a = 19.470 Å, b = 5.064 Å, c = 8.484 Å, α = 90.00°, β = 99.69° and γ = 90.00°. The inequivalent atoms are Sr at (0.000, 0.000, 0.000), Sr at (0.152, 0.500, 0.469), Sr at (0.171, 0.500, 0.982), Mg at (0.000, 0.000, 0.500), Bi at (0.023, 0.500, 0.729) and Bi at (0.195, 0.000, 0.239).



The structure with the most favorable energy is (w); the runner-up is 13 meV per atom above it.



(w)
Here is crystalline MgTa3Bi at its relaxed geometry from Alexandria. Energies are from PBE.

Its density is 11.439 Mg/m³. Its magnetic moment is 0.00 μB/f.u.

It has space group Pm-3m (No. 221), with a = 4.830 Å, b = 4.830 Å, c = 4.830 Å, α = 90.00°, β = 90.00° and γ = 90.00°. The inequivalent atoms are Mg at (0.000, 0.000, 0.000), Ta at (0.000, 0.000, 0.500) and Bi at (0.500, 0.500, 0.500).



(x)
Here is crystalline MgTa3Bi at its relaxed geometry from Alexandria. Energies are from PBE.

Its density is 9.378 Mg/m³. Its magnetic moment is 0.00 μB/f.u.

It has space group Pm-3m (No. 221), with a = 5.161 Å, b = 5.161 Å, c = 5.161 Å, α = 90.00°, β = 90.00° and γ = 90.00°. The inequivalent atoms are Mg at (0.000, 0.000, 0.000), Ta at (0.000, 0.500, 0.500) and Bi at (0.500, 0.500, 0.500).



The structure with the most favorable energy is (w); the runner-up is 363 meV per atom above it.



(w)
Here is crystalline MgTaBi3 at its relaxed geometry from Alexandria. Energies are from PBE.

Its density is 8.177 Mg/m³. Its magnetic moment is 0.00 μB/f.u.

It has space group Pm-3m (No. 221), with a = 5.529 Å, b = 5.529 Å, c = 5.529 Å, α = 90.00°, β = 90.00° and γ = 90.00°. The inequivalent atoms are Mg at (0.000, 0.000, 0.000), Ta at (0.500, 0.500, 0.500) and Bi at (0.000, 0.500, 0.500).



(x)
Here is crystalline MgTaBi3 at its relaxed geometry from Alexandria. Energies are from PBE.

Its density is 8.866 Mg/m³. Its magnetic moment is 2.77 μB/f.u.

It has space group Pm-3m (No. 221), with a = 5.382 Å, b = 5.382 Å, c = 5.382 Å, α = 90.00°, β = 90.00° and γ = 90.00°. The inequivalent atoms are Mg at (0.000, 0.000, 0.000), Ta at (0.500, 0.500, 0.500) and Bi at (0.000, 0.000, 0.500).



The structure with the most favorable energy is (w); the runner-up is 750 meV per atom above it.



(w)
Here is crystalline MgTa2Bi at its relaxed geometry from Alexandria. Energies are from PBE.

Its density is 12.162 Mg/m³. Its magnetic moment is 0.00 μB/f.u.

It has space group Fm-3m (No. 225), with a = 6.876 Å, b = 6.876 Å, c = 6.876 Å, α = 90.00°, β = 90.00° and γ = 90.00°. The inequivalent atoms are Mg at (0.000, 0.000, 0.000), Ta at (0.250, 0.250, 0.250) and Bi at (0.000, 0.000, 0.500).



(x)
Here is crystalline MgTa2Bi at its relaxed geometry from Alexandria. Energies are from PBE.

Its density is 11.237 Mg/m³. Its magnetic moment is 0.00 μB/f.u.

It has space group I-42d (No. 122), with a = 4.063 Å, b = 4.063 Å, c = 21.313 Å, α = 90.00°, β = 90.00° and γ = 90.00°. The inequivalent atoms are Mg at (0.000, 0.000, 0.000), Ta at (0.248, 0.250, 0.125) and Bi at (0.000, 0.000, 0.500).



The structure with the most favorable energy is (x); the runner-up is 84 meV per atom above it.



(w)
Here is crystalline TbMgBi2 at its relaxed geometry from Alexandria. Energies are from PBE.

Its density is 8.729 Mg/m³. Its magnetic moment is 0.00 μB/f.u.

It has space group Fm-3m (No. 225), with a = 7.705 Å, b = 7.705 Å, c = 7.705 Å, α = 90.00°, β = 90.00° and γ = 90.00°. The inequivalent atoms are Tb at (0.000, 0.000, 0.000), Mg at (0.000, 0.000, 0.500) and Bi at (0.250, 0.250, 0.250).



(x)
Here is crystalline TbMgBi2 at its relaxed geometry from Alexandria. Energies are from PBE.

Its density is 8.108 Mg/m³. Its magnetic moment is 0.00 μB/f.u.

It has space group R-3m (No. 166, hexagonal axes), with a = 4.4705 Å, b = 4.4705 Å, c = 21.3416 Å, α = 90.00°, β = 90.00° and γ = 120.00°. The inequivalent atoms are Tb at (0.0000, 0.0000, 0.0000), Mg at (0.0000, 0.0000, 0.5000) and Bi at (0.0000, 0.0000, 0.2459).



(y)
Here is crystalline TbMgBi2 at its relaxed geometry from Alexandria. Energies are from PBE.

Its density is 8.795 Mg/m³. Its magnetic moment is 0.00 μB/f.u.

It has space group P4/nmm (No. 129, origin choice 2), with a = 4.572 Å, b = 4.572 Å, c = 10.861 Å, α = 90.00°, β = 90.00° and γ = 90.00°. The inequivalent atoms are Tb at (0.250, 0.250, 0.222), Mg at (0.250, 0.750, 0.500), Bi at (0.250, 0.250, 0.690) and Bi at (0.250, 0.750, 0.000).



(z)
Here is crystalline TbMgBi2 at its relaxed geometry from Alexandria. Energies are from PBE.

Its density is 8.928 Mg/m³. Its magnetic moment is 0.00 μB/f.u.

It has space group P4/mmm (No. 123), with a = 5.152 Å, b = 5.152 Å, c = 4.213 Å, α = 90.00°, β = 90.00° and γ = 90.00°. The inequivalent atoms are Tb at (0.000, 0.000, 0.000), Mg at (0.500, 0.500, 0.000) and Bi at (0.000, 0.500, 0.500).



The structure with the most favorable energy is (y); the runner-up is 33 meV per atom above it.



(w)
Here is crystalline TbMgBi2 at its relaxed geometry from Alexandria. Energies are from PBE.

Its density is 8.044 Mg/m³. Its magnetic moment is 0.00 μB/f.u.

It has space group P2_1/c (No. 14), with a = 6.241 Å, b = 12.690 Å, c = 8.763 Å, α = 90.00°, β = 134.33° and γ = 90.00°. The inequivalent atoms are Tb at (0.000, 0.029, 0.250), Mg at (0.499, 0.245, 0.250), Bi at (0.001, 0.724, 0.750) and Bi at (0.500, 0.004, 0.750).



(x)
Here is crystalline TbMgBi2 at its relaxed geometry from Alexandria. Energies are from PBE.

Its density is 8.774 Mg/m³. Its magnetic moment is 0.00 μB/f.u.

It has space group P4/mmm (No. 123), with a = 4.066 Å, b = 4.066 Å, c = 6.882 Å, α = 90.00°, β = 90.00° and γ = 90.00°. The inequivalent atoms are Tb at (0.000, 0.000, 0.000), Mg at (0.000, 0.000, 0.500) and Bi at (0.500, 0.500, 0.249).



The structure with the most favorable energy is (x); the runner-up is 12 meV per atom above it.



(w)
Here is crystalline MgTc2Bi at its relaxed geometry from Alexandria. Energies are from PBE.

Its density is 9.007 Mg/m³. Its magnetic moment is 1.55 μB/f.u.

It has space group I-42d (No. 122), with a = 7.579 Å, b = 7.579 Å, c = 5.512 Å, α = 90.00°, β = 90.00° and γ = 90.00°. The inequivalent atoms are Mg at (0.000, 0.000, 0.000), Tc at (0.247, 0.250, 0.625) and Bi at (0.000, 0.000, 0.500).



(x)
Here is crystalline MgTc2Bi at its relaxed geometry from Alexandria. Energies are from PBE.

Its density is 10.264 Mg/m³. Its magnetic moment is 0.00 μB/f.u.

It has space group Fm-3m (No. 225), with a = 6.525 Å, b = 6.525 Å, c = 6.525 Å, α = 90.00°, β = 90.00° and γ = 90.00°. The inequivalent atoms are Mg at (0.000, 0.000, 0.000), Tc at (0.250, 0.250, 0.250) and Bi at (0.000, 0.000, 0.500).



The structure with the most favorable energy is (x); the runner-up is 506 meV per atom above it.



(w)
Here is crystalline Mg2BiTe at its relaxed geometry from Alexandria. Energies are from PBE.

Its density is 6.117 Mg/m³. Its magnetic moment is 0.00 μB/f.u.

It has space group Fm-3m (No. 225), with a = 7.479 Å, b = 7.479 Å, c = 7.479 Å, α = 90.00°, β = 90.00° and γ = 90.00°. The inequivalent atoms are Mg at (0.250, 0.250, 0.250), Bi at (0.000, 0.000, 0.000) and Te at (0.000, 0.000, 0.500).



(x)
Here is crystalline Mg2BiTe at its relaxed geometry from Alexandria. Energies are from PBE.

Its density is 5.784 Mg/m³. Its magnetic moment is 0.00 μB/f.u.

It has space group R-3m (No. 166, hexagonal axes), with a = 4.0902 Å, b = 4.0902 Å, c = 22.8972 Å, α = 90.00°, β = 90.00° and γ = 120.00°. The inequivalent atoms are Mg at (0.0000, 0.0000, 0.2433), Bi at (0.0000, 0.0000, 0.0000) and Te at (0.0000, 0.0000, 0.5000).



(y)
Here is crystalline Mg2BiTe at its relaxed geometry from Alexandria. Energies are from PBE.

Its density is 4.426 Mg/m³. Its magnetic moment is 0.00 μB/f.u.

It has space group I-42d (No. 122), with a = 6.910 Å, b = 6.910 Å, c = 12.107 Å, α = 90.00°, β = 90.00° and γ = 90.00°. The inequivalent atoms are Mg at (0.234, 0.250, 0.125), Bi at (0.000, 0.000, 0.500) and Te at (0.000, 0.000, 0.000).



(z)
Here is crystalline Mg2BiTe at its relaxed geometry from Alexandria. Energies are from PBE.

Its density is 5.703 Mg/m³. Its magnetic moment is 0.00 μB/f.u.

It has space group R3m (No. 160, hexagonal axes), with a = 4.0675 Å, b = 4.0675 Å, c = 23.4838 Å, α = 90.00°, β = 90.00° and γ = 120.00°. The inequivalent atoms are Mg at (0.0000, 0.0000, 0.0000), Mg at (0.0000, 0.0000, 0.1530), Bi at (0.0000, 0.0000, 0.5775) and Te at (0.0000, 0.0000, 0.4087).



The structure with the most favorable energy is (x); the runner-up is 54 meV per atom above it.



(w)
Here is crystalline MgBiTe2 at its relaxed geometry from Alexandria. Energies are from PBE.

Its density is 5.069 Mg/m³. Its magnetic moment is 0.00 μB/f.u.

It has space group I-42d (No. 122), with a = 6.445 Å, b = 6.445 Å, c = 15.412 Å, α = 90.00°, β = 90.00° and γ = 90.00°. The inequivalent atoms are Mg at (0.000, 0.000, 0.000), Bi at (0.000, 0.000, 0.500) and Te at (0.218, 0.250, 0.125).



(x)
Here is crystalline MgBiTe2 at its relaxed geometry from Alexandria. Energies are from PBE.

Its density is 7.156 Mg/m³. Its magnetic moment is 0.00 μB/f.u.

It has space group Fm-3m (No. 225), with a = 7.683 Å, b = 7.683 Å, c = 7.683 Å, α = 90.00°, β = 90.00° and γ = 90.00°. The inequivalent atoms are Mg at (0.000, 0.000, 0.000), Bi at (0.000, 0.000, 0.500) and Te at (0.250, 0.250, 0.250).



(y)
Here is crystalline MgBiTe2 at its relaxed geometry from Alexandria. Energies are from PBE.

Its density is 4.898 Mg/m³. Its magnetic moment is 0.00 μB/f.u.

It has space group R-3m (No. 166, hexagonal axes), with a = 4.5979 Å, b = 4.5979 Å, c = 27.1353 Å, α = 90.00°, β = 90.00° and γ = 120.00°. The inequivalent atoms are Mg at (0.0000, 0.0000, 0.0000), Bi at (0.0000, 0.0000, 0.5000) and Te at (0.0000, 0.0000, 0.1023).



(z)
Here is crystalline MgBiTe2 at its relaxed geometry from Alexandria. Energies are from PBE.

Its density is 6.357 Mg/m³. Its magnetic moment is 0.00 μB/f.u.

It has space group R-3m (No. 166, hexagonal axes), with a = 3.8721 Å, b = 3.8721 Å, c = 29.4814 Å, α = 90.00°, β = 90.00° and γ = 120.00°. The inequivalent atoms are Mg at (0.0000, 0.0000, 0.0000), Bi at (0.0000, 0.0000, 0.5000) and Te at (0.0000, 0.0000, 0.3957).



The structure with the most favorable energy is (w); the runner-up is 14 meV per atom above it.



(w)
Here is crystalline Mg2BiTe2 at its relaxed geometry from Alexandria. Energies are from PBE.

Its density is 6.420 Mg/m³. Its magnetic moment is 0.00 μB/f.u.

It has space group P4/mbm (No. 127), with a = 8.257 Å, b = 8.257 Å, c = 3.890 Å, α = 90.00°, β = 90.00° and γ = 90.00°. The inequivalent atoms are Mg at (0.137, 0.363, 0.000), Bi at (0.000, 0.000, 0.000) and Te at (0.162, 0.662, 0.500).



(x)
Here is crystalline Mg2BiTe2 at its relaxed geometry from Alexandria. Energies are from PBE.

Its density is 5.234 Mg/m³. Its magnetic moment is 2.27 μB/f.u.

It has space group I4/mmm (No. 139), with a = 4.736 Å, b = 4.736 Å, c = 14.503 Å, α = 90.00°, β = 90.00° and γ = 90.00°. The inequivalent atoms are Mg at (0.000, 0.500, 0.250), Bi at (0.000, 0.000, 0.000) and Te at (0.000, 0.000, 0.362).



The structure with the most favorable energy is (w); the runner-up is 86 meV per atom above it.